Entry 1:
DFT (PBE) results for PrY3As4 after structural relaxation.

a = 4.1742 Å, b = 7.2242 Å, c = 7.2242 Å
α = 70.55°, β = 89.99°, γ = 89.99°
Last column: nearest neighbours and their distance in Å.
Fractional positions:
1 Pr 0.5000 0.5001 0.0000  6 As 2.99
2 As 0.0000 0.2429 0.2572  4 Y 2.91-2.95, 2 Pr 2.99
3 As 0.5000 0.2465 0.7464  5 Y 2.91-2.95, 1 Pr 2.99
4 As 0.4999 0.7537 0.2536  5 Y 2.91-2.95, 1 Pr 2.99
5 As 0.0000 0.7574 0.7427  4 Y 2.91-2.95, 2 Pr 2.99
6 Y 0.5000 0.0001 0.5000  6 As 2.91
7 Y 0.9999 0.0001 0.0000  6 As 2.95
8 Y 0.0000 0.5001 0.5000  6 As 2.95

Properties
- DFT total energy (eV per atom) = -6.880
- M_tot (μB per atom) = 0.00
- energy of formation from the pure elements (eV/atom) = -1.53


Entry 2:
DFT (PBE) results for ErZn4Cu8 after structural relaxation.

a = 4.9287 Å, b = 6.5573 Å, c = 6.5573 Å
α = 81.88°, β = 67.92°, γ = 67.92°
Last column: nearest neighbours and their distance in Å.
Fractional positions:
1 Er 0.0000 0.0000 0.0000  12 Cu 3.05-3.09, 8 Zn 3.28
2 Cu 0.6450 0.3550 0.3550  5 Cu 2.49-2.73, 4 Zn 2.64
3 Cu 0.7174 0.7826 0.7826  4 Zn 2.49, 6 Cu 2.64-2.73
4 Cu 0.5000 0.7826 0.2174  4 Zn 2.49, 6 Cu 2.64-2.73
5 Cu 0.5000 0.2174 0.7826  4 Zn 2.49, 6 Cu 2.64-2.73
6 Cu 0.2826 0.2174 0.2174  4 Zn 2.49, 6 Cu 2.64-2.73
7 Cu 0.0000 0.3550 0.6450  5 Cu 2.49-2.73, 4 Zn 2.64
8 Cu 0.0000 0.6450 0.3550  5 Cu 2.49-2.73, 4 Zn 2.64
9 Cu 0.3550 0.6450 0.6450  5 Cu 2.49-2.73, 4 Zn 2.64
10 Zn 0.5000 0.5000 0.0000  2 Zn 2.46, 8 Cu 2.49-2.64
11 Zn 0.5000 0.0000 0.5000  2 Zn 2.46, 8 Cu 2.49-2.64
12 Zn 0.0000 0.0000 0.5000  2 Zn 2.46, 8 Cu 2.49-2.64
13 Zn 0.0000 0.5000 0.0000  2 Zn 2.46, 8 Cu 2.49-2.64

Properties
- DFT total energy (eV per atom) = -3.390
- M_tot (μB per atom) = 0.00
- energy of formation from the pure elements (eV/atom) = -0.13


Entry 3:
DFT (PBE) results for NbAsPO2 after structural relaxation.

a = 3.8935 Å, b = 3.8935 Å, c = 5.4457 Å
α = 90.00°, β = 90.00°, γ = 90.00°
Last column: nearest neighbours and their distance in Å.
Fractional positions:
1 Nb 0.0000 0.0000 0.0000  4 O 1.95
2 P 0.0000 0.0000 0.5000  2 Nb 2.72, 4 As 2.75
3 O 0.5000 0.0000 0.0000  2 Nb 1.95
4 O 0.0000 0.5000 0.0000  2 Nb 1.95
5 As 0.5000 0.5000 0.5000  4 P 2.75

Properties
- DFT total energy (eV per atom) = -7.017
- ΔE_f (raw) (eV/atom) = -1.0078
- M_tot (μB per atom) = 0.20
- energy above the lowest structure with this stoichiometry (eV/f.u.) = 0.00